A relaxed structure of InAs2CBr. Source: Alexandria via LeMat-Bulk, functional PBE-GGA.

Lattice parameters (Å, degrees): 4.218 4.218 7.544 90.00 90.00 90.00
Fractional positions:
In  0.000  0.000  0.000
As  0.000  0.500  0.500
As  0.500  0.000  0.500
C  0.500  0.500  0.500
Br  0.500  0.500  0.000

M_tot: 0.0 μB per formula unit
electronic total energy: -0.2747 Ry/atom
formation energy without anion corrections: 4.24 eV per formula unit
ΔE to the lowest computed polymorph: 0.0 meV/atom

=====

A relaxed structure of InAsCBr2. Source: Alexandria via LeMat-Bulk, functional PBE-GGA.

Lattice parameters (Å, degrees): 5.510 5.510 5.513 90.00 90.00 90.00
Fractional positions:
In  0.000  0.000  0.000
As  0.000  0.000  0.500
C  0.500  0.500  0.500
Br  0.000  0.500  0.000
Br  0.500  0.000  0.000

M_tot: 3.7 μB per formula unit
electronic total energy: -0.1793 Ry/atom
formation energy without anion corrections: 7.76 eV per formula unit
ΔE to the lowest computed polymorph: 730.7 meV/atom

=====

A relaxed structure of AsIrCBr2. Source: Alexandria via LeMat-Bulk, functional PBE-GGA.

Lattice parameters (Å, degrees): 4.502 4.502 4.317 90.00 90.00 90.00
Fractional positions:
As  0.000  0.000  0.000
Ir  0.500  0.500  0.000
C  0.000  0.000  0.500
Br  0.000  0.500  0.500
Br  0.500  0.000  0.500

M_tot: 0.9 μB per formula unit
electronic total energy: -0.2523 Ry/atom
formation energy without anion corrections: 8.92 eV per formula unit
ΔE to the lowest computed polymorph: 91.9 meV/atom

=====

A relaxed structure of AsIrCBr2. Source: Alexandria via LeMat-Bulk, functional PBE-GGA.

Lattice parameters (Å, degrees): 5.258 5.258 4.628 90.00 90.00 90.00
Fractional positions:
As  0.000  0.000  0.000
Ir  0.000  0.000  0.500
C  0.500  0.500  0.000
Br  0.000  0.500  0.500
Br  0.500  0.000  0.500

M_tot: 1.4 μB per formula unit
electronic total energy: -0.2590 Ry/atom
formation energy without anion corrections: 8.46 eV per formula unit
ΔE to the lowest computed polymorph: 0.0 meV/atom

=====

A relaxed structure of KAs2CBr. Source: Alexandria via LeMat-Bulk, functional PBE-GGA.

Lattice parameters (Å, degrees): 4.266 4.266 9.088 90.00 90.00 90.00
Fractional positions:
K  0.000  0.000  0.000
As  0.000  0.500  0.500
As  0.500  0.000  0.500
C  0.500  0.500  0.500
Br  0.500  0.500  0.000

M_tot: 0.1 μB per formula unit
electronic total energy: -0.2775 Ry/atom
formation energy without anion corrections: 2.41 eV per formula unit
ΔE to the lowest computed polymorph: 0.0 meV/atom

=====

A relaxed structure of KAsCBr2. Source: Alexandria via LeMat-Bulk, functional PBE-GGA.

Lattice parameters (Å, degrees): 5.641 5.641 4.006 90.00 90.00 90.00
Fractional positions:
K  0.000  0.000  0.000
As  0.500  0.500  0.000
C  0.500  0.500  0.500
Br  0.000  0.500  0.500
Br  0.500  0.000  0.500

M_tot: 0.7 μB per formula unit
electronic total energy: -0.2403 Ry/atom
formation energy without anion corrections: 1.97 eV per formula unit
ΔE to the lowest computed polymorph: 0.0 meV/atom

=====

A relaxed structure of KAsCBr2. Source: Alexandria via LeMat-Bulk, functional PBE-GGA.

Lattice parameters (Å, degrees): 6.227 6.227 7.074 90.00 90.00 90.00
Fractional positions:
K  0.000  0.000  0.000
As  0.000  0.000  0.500
C  0.500  0.500  0.500
Br  0.000  0.500  0.000
Br  0.500  0.000  0.000

M_tot: 5.3 μB per formula unit
electronic total energy: -0.1439 Ry/atom
formation energy without anion corrections: 8.52 eV per formula unit
ΔE to the lowest computed polymorph: 1310.4 meV/atom

=====

A relaxed structure of KAs2CBr. Source: Alexandria via LeMat-Bulk, functional PBE-GGA.

Lattice parameters (Å, degrees): 7.517 7.517 6.029 90.00 90.00 90.00
Fractional positions:
K  0.000  0.000  0.000
As  0.000  0.500  0.000
As  0.500  0.000  0.000
C  0.500  0.500  0.500
Br  0.000  0.000  0.500

M_tot: 7.9 μB per formula unit
electronic total energy: -0.1506 Ry/atom
formation energy without anion corrections: 11.05 eV per formula unit
ΔE to the lowest computed polymorph: 1726.6 meV/atom

=====

A relaxed structure of LaAs2CBr. Source: Alexandria via LeMat-Bulk, functional PBE-GGA.

Lattice parameters (Å, degrees): 5.878 5.878 5.762 90.00 90.00 90.00
Fractional positions:
La  0.000  0.000  0.000
As  0.000  0.500  0.000
As  0.500  0.000  0.000
C  0.500  0.500  0.500
Br  0.000  0.000  0.500

M_tot: 2.8 μB per formula unit
electronic total energy: -0.2602 Ry/atom
formation energy without anion corrections: 7.42 eV per formula unit
ΔE to the lowest computed polymorph: 1315.8 meV/atom

=====

A relaxed structure of LaAs2CBr. Source: Alexandria via LeMat-Bulk, functional PBE-GGA.

Lattice parameters (Å, degrees): 4.396 4.396 5.379 90.00 90.00 90.00
Fractional positions:
La  0.000  0.000  0.000
As  0.000  0.500  0.500
As  0.500  0.000  0.500
C  0.500  0.500  0.500
Br  0.500  0.500  0.000

M_tot: 0.0 μB per formula unit
electronic total energy: -0.3569 Ry/atom
formation energy without anion corrections: 0.84 eV per formula unit
ΔE to the lowest computed polymorph: 0.0 meV/atom

=====

A relaxed structure of LiAs2CBr. Source: Alexandria via LeMat-Bulk, functional PBE-GGA.

Lattice parameters (Å, degrees): 4.059 4.059 8.733 90.00 90.00 90.00
Fractional positions:
Li  0.000  0.000  0.000
As  0.000  0.500  0.500
As  0.500  0.000  0.500
C  0.500  0.500  0.500
Br  0.500  0.500  0.000

M_tot: 0.0 μB per formula unit
electronic total energy: -0.2836 Ry/atom
formation energy without anion corrections: 2.82 eV per formula unit
ΔE to the lowest computed polymorph: 0.0 meV/atom

=====

A relaxed structure of LiAs2CBr. Source: Alexandria via LeMat-Bulk, functional PBE-GGA.

Lattice parameters (Å, degrees): 4.583 4.583 4.774 90.00 90.00 90.00
Fractional positions:
Li  0.000  0.000  0.000
As  0.000  0.500  0.000
As  0.500  0.000  0.000
C  0.500  0.500  0.500
Br  0.000  0.000  0.500

M_tot: 1.0 μB per formula unit
electronic total energy: -0.2021 Ry/atom
formation energy without anion corrections: 8.36 eV per formula unit
ΔE to the lowest computed polymorph: 1108.8 meV/atom